The following is a PBE calculation of Ac2In8Ni after structural relaxation, from Alexandria.

Results
**Total moment**: 0.00 Bohr magnetons per cell
**ΔH_f (0 K)**: -7.2 kcal/mol of atoms
**Calculated density**: 7.940 g/cm³
**Total energy**: -3.58 eV/atom
**SG**: P4/mmm
**V**: 299 Å³/cell

a b c (Å): 4.8224 4.8224 12.8715
angles (deg): 90.00 90.00 90.00
Positions (direct):
Ac  0.0000  0.0000  0.1984
Ac  0.0000  0.0000  0.8016
In  0.0000  0.5000  0.0000
In  0.0000  0.5000  0.3870
In  0.0000  0.5000  0.6130
In  0.5000  0.0000  0.0000
In  0.5000  0.0000  0.3870
In  0.5000  0.0000  0.6130
In  0.5000  0.5000  0.1900
In  0.5000  0.5000  0.8100
Ni  0.0000  0.0000  0.5000



The following is a PBE calculation of Ac5In2Ni after structural relaxation, from Alexandria.

Results
**Total moment**: 0.00 Bohr magnetons per cell
**ΔH_f (0 K)**: -6.3 kcal/mol of atoms
**Calculated density**: 8.167 g/cm³
**Total energy**: -4.25 eV/atom
**SG**: Pbam
**V**: 579 Å³/cell

a b c (Å): 8.8067 13.0497 5.0364
angles (deg): 90.00 90.00 90.00
Positions (direct):
Ac  0.0000  0.0000  0.0000
Ac  0.1364  0.3004  0.0000
Ac  0.1792  0.5724  0.5000
Ac  0.3208  0.0724  0.5000
Ac  0.3636  0.8004  0.0000
Ac  0.5000  0.5000  0.0000
Ac  0.6364  0.1996  0.0000
Ac  0.6792  0.9276  0.5000
Ac  0.8208  0.4276  0.5000
Ac  0.8636  0.6996  0.0000
In  0.0772  0.8325  0.5000
In  0.4228  0.3325  0.5000
In  0.5772  0.6675  0.5000
In  0.9228  0.1675  0.5000
Ni  0.0000  0.5000  0.0000
Ni  0.5000  0.0000  0.0000



The following is a PBE calculation of Ac12In5Ni2 after structural relaxation, from Alexandria.

Results
**Total moment**: 0.00 Bohr magnetons per cell
**ΔH_f (0 K)**: -2.8 kcal/mol of atoms
**Calculated density**: 7.323 g/cm³
**Total energy**: -4.05 eV/atom
**SG**: C2/m
**V**: 774 Å³/cell

a b c (Å): 10.1858 10.1858 10.4424
angles (deg): 104.49 104.49 48.01
Positions (direct):
Ac  0.0008  0.0008  0.3226
Ac  0.0811  0.6086  0.9203
Ac  0.1049  0.5874  0.4230
Ac  0.3913  0.9189  0.0797
Ac  0.4126  0.8951  0.5770
Ac  0.4982  0.4982  0.7508
Ac  0.5018  0.5018  0.2492
Ac  0.5874  0.1049  0.4230
Ac  0.6086  0.0811  0.9203
Ac  0.8951  0.4126  0.5770
Ac  0.9189  0.3913  0.0797
Ac  0.9992  0.9992  0.6774
In  0.0000  0.0000  0.0000
In  0.3050  0.3050  0.6627
In  0.3103  0.3103  0.1430
In  0.6897  0.6897  0.8570
In  0.6950  0.6950  0.3373
Ni  0.3328  0.6672  0.5000
Ni  0.6672  0.3328  0.5000